{
  "formula": "Sr2NiRu",
  "functional": "PBE-GGA",
  "state": "optimized geometry",
  "lattice_angstrom": [[8.0223, 0.0000, 0.0000], [0.0000, 8.0223, 0.0000], [4.0111, 4.0111, 3.0693]],
  "species": ["Sr", "Sr", "Ni", "Ru", "Ni", "Ru", "Sr", "Sr"],
  "fractional_positions": [[0.1417, 0.6250, 0.2500], [0.6083, 0.1250, 0.2500], [0.5000, 0.5000, 0.0000], [0.0000, 0.0000, 0.0000], [0.2500, 0.7500, 0.5000], [0.7500, 0.2500, 0.5000], [0.3750, 0.3917, 0.7500], [0.8750, 0.8583, 0.7500]],
  "dos_ef_per_ev_atom": 1.398,
  "e_tot_ev_per_fu": -15.32,
  "formation_energy_ev_per_atom": 0.78
}